No. 1
A plane-wave DFT calculation with PBE-GGA was carried out for Er4TmIn5 after structural relaxation.

abc: 3.700 3.700 18.962
angles: 90.00 90.00 90.00
Fractional positions:
Er (0.000, 0.000, 0.100)
Er (0.000, 0.000, 0.301)
Er (0.000, 0.000, 0.699)
Er (0.000, 0.000, 0.900)
Tm (0.000, 0.000, 0.500)
In (0.500, 0.500, 0.000)
In (0.500, 0.500, 0.200)
In (0.500, 0.500, 0.401)
In (0.500, 0.500, 0.599)
In (0.500, 0.500, 0.800)

The crystal system is tetragonal. For the formation energy, the calculation gives -0.44 eV/atom.

No. 2
A plane-wave DFT calculation with PBE-GGA was carried out for BaTa after structural relaxation.

abc: 10.036 10.036 10.036
angles: 90.00 90.00 90.00
Fractional positions:
Ba (0.214, 0.214, 0.214)
Ba (0.214, 0.786, 0.786)
Ba (0.286, 0.286, 0.714)
Ba (0.286, 0.714, 0.286)
Ba (0.714, 0.286, 0.286)
Ba (0.714, 0.714, 0.714)
Ba (0.786, 0.214, 0.786)
Ba (0.786, 0.786, 0.214)
Ta (0.091, 0.091, 0.909)
Ta (0.091, 0.909, 0.091)
Ta (0.409, 0.409, 0.409)
Ta (0.409, 0.591, 0.591)
Ta (0.591, 0.409, 0.591)
Ta (0.591, 0.591, 0.409)
Ta (0.909, 0.091, 0.091)
Ta (0.909, 0.909, 0.909)

The crystal system is cubic. For the formation energy, the calculation gives 1.25 eV/atom. Its polymorph energy (0 for the lowest one) is 730 meV/atom.

No. 3
A plane-wave DFT calculation with PBE-GGA was carried out for RbInN3 after structural relaxation.

abc: 4.472 4.472 4.472
angles: 90.00 90.00 90.00
Fractional positions:
Rb (0.000, 0.000, 0.000)
In (0.500, 0.500, 0.500)
N (0.000, 0.500, 0.500)
N (0.500, 0.000, 0.500)
N (0.500, 0.500, 0.000)

The crystal system is cubic. For the formation energy (no corrections), the calculation gives 1.53 eV/atom.

No. 4
A plane-wave DFT calculation with PBE-GGA was carried out for HgBTeI2 after structural relaxation.

abc: 5.183 5.183 5.036
angles: 90.00 90.00 90.00
Fractional positions:
Hg (0.000, 0.000, 0.000)
B (0.500, 0.500, 0.500)
Te (0.500, 0.500, 0.000)
I (0.000, 0.500, 0.500)
I (0.500, 0.000, 0.500)

The crystal system is tetragonal. For the formation energy (no corrections), the calculation gives 0.64 eV/atom. Its polymorph energy (0 for the lowest one) is 0 meV/atom.